CrSn3P: optimized geometry, PBEsol.

Cell lengths 4.974, 4.974, 4.974 Å; angles 90.00, 90.00, 90.00 degrees
Fractional coordinates of all 5 atoms:
Cr (0.000, 0.000, 0.000)
Sn (0.000, 0.000, 0.500)
Sn (0.000, 0.500, 0.000)
Sn (0.500, 0.000, 0.000)
P (0.500, 0.500, 0.500)

The value obtained for the total energy is -5.19 eV/atom. The energy of formation from the pure elements comes out at 575 meV/atom.